# 1
Computed, not measured: NiSbPd2 after structural relaxation at the GGA-PBE level of DFT.

```
4
Lattice="-0.254 -2.493 -3.125 3.902 -0.570 0.138 -0.531 -3.036 2.464" Properties=species:S:1:pos:R:3 pbc="T T T"
Sb 1.559 -3.049 -0.261
Pd -0.265 -1.518 1.232
Pd 1.951 -0.285 0.069
Ni -0.127 -1.246 -1.563
```

Output
Formation energy (no corrections) (eV/atom): -0.24
Electronic total energy (eV per atom): -5.32


# 2
Computed, not measured: Ag8TeS5 after structural relaxation at the GGA-PBE level of DFT.

```
14
Lattice="7.696 0.000 0.000 3.848 6.665 0.000 3.848 2.222 6.283" Properties=species:S:1:pos:R:3 pbc="T T T"
Ag 7.696 6.328 2.475
Ag 9.328 3.501 2.475
Ag 6.063 3.501 2.475
Ag 7.696 4.443 5.141
Ag 11.543 6.665 2.445
Ag 9.692 7.733 5.468
Ag 13.395 7.733 5.468
Ag 11.543 4.527 5.468
Te 3.848 2.222 1.571
S 0.000 0.000 0.000
S 7.696 4.443 0.689
S 9.698 5.599 3.959
S 5.693 5.599 3.959
S 7.696 2.131 3.959
```

Output
Formation energy (no corrections) (eV/atom): 0.09
Electronic total energy (eV per atom): -3.24


# 3
Computed, not measured: FeNiHRh2 after structural relaxation at the GGA-PBE level of DFT.

```
5
Lattice="3.884 0.000 0.000 0.000 3.884 0.000 0.000 0.000 3.650" Properties=species:S:1:pos:R:3 pbc="T T T"
Ni 0.000 0.000 1.825
Rh 0.000 1.942 0.000
Rh 1.942 0.000 0.000
Fe 1.942 1.942 1.825
H 0.000 0.000 0.000
```

Output
E above lowest polymorph (eV/f.u.): 0.000
Electronic total energy (eV per atom): -6.51


no.,volume (Å³/atom)
1,15.592
2,23.019
3,11.014